{
  "formula": "EuSb12Os4",
  "functional": "meta-GGA SCAN",
  "state": "PBEsol geometry",
  "lattice": [[-4.654, 4.654, 4.654], [4.654, -4.654, 4.654], [4.654, 4.654, -4.654]],
  "species": ["Eu", "Sb", "Sb", "Sb", "Sb", "Sb", "Sb", "Sb", "Sb", "Sb", "Sb", "Sb", "Sb", "Os", "Os", "Os", "Os"],
  "frac_coords": [[0.000, 0.000, 0.000], [0.157, 0.498, 0.341], [0.157, 0.817, 0.659], [0.183, 0.341, 0.843], [0.341, 0.157, 0.498], [0.341, 0.843, 0.183], [0.498, 0.341, 0.157], [0.502, 0.659, 0.843], [0.659, 0.157, 0.817], [0.659, 0.843, 0.502], [0.817, 0.659, 0.157], [0.843, 0.183, 0.341], [0.843, 0.502, 0.659], [0.000, 0.000, 0.500], [0.000, 0.500, 0.000], [0.500, 0.000, 0.000], [0.500, 0.500, 0.500]],
  "n_ef_per_ev_cell": 13.10,
  "spacegroup": "Im-3 (204)",
  "final_energy_ev_per_atom": -46.63,
  "magmom_total_mub_per_fu": 5.71,
  "raw_formation_energy_mev_per_atom": -251
}

---

{
  "formula": "EuPPd",
  "functional": "meta-GGA SCAN",
  "state": "PBEsol geometry",
  "lattice": [[4.104, 0.000, 0.000], [-2.052, 3.554, 0.000], [0.000, 0.000, 8.147]],
  "species": ["Eu", "Eu", "P", "P", "Pd", "Pd"],
  "frac_coords": [[0.000, 0.000, 0.000], [0.000, 0.000, 0.500], [0.333, 0.667, 0.250], [0.667, 0.333, 0.750], [0.333, 0.667, 0.750], [0.667, 0.333, 0.250]],
  "n_ef_per_ev_cell": 11.47,
  "spacegroup": "P6_3/mmc (194)",
  "final_energy_ev_per_atom": -33.48,
  "magmom_total_mub_per_fu": 6.66,
  "delta_e_f_mev_per_atom": -1189.2
}

---

{
  "formula": "EuP12Ru4",
  "functional": "meta-GGA SCAN",
  "state": "PBEsol geometry",
  "lattice": [[-4.004, 4.004, 4.004], [4.004, -4.004, 4.004], [4.004, 4.004, -4.004]],
  "species": ["Eu", "P", "P", "P", "P", "P", "P", "P", "P", "P", "P", "P", "P", "Ru", "Ru", "Ru", "Ru"],
  "frac_coords": [[0.000, 0.000, 0.000], [0.144, 0.358, 0.503], [0.144, 0.642, 0.786], [0.214, 0.856, 0.358], [0.358, 0.214, 0.856], [0.358, 0.503, 0.144], [0.497, 0.856, 0.642], [0.503, 0.144, 0.358], [0.642, 0.497, 0.856], [0.642, 0.786, 0.144], [0.786, 0.144, 0.642], [0.856, 0.358, 0.214], [0.856, 0.642, 0.497], [0.000, 0.000, 0.500], [0.000, 0.500, 0.000], [0.500, 0.000, 0.000], [0.500, 0.500, 0.500]],
  "n_ef_per_ev_cell": 8.03,
  "spacegroup": "Im-3 (204)",
  "final_energy_ev_per_atom": -19.40,
  "magmom_total_mub_per_fu": 6.71,
  "delta_e_f_mev_per_atom": -706.3
}

---

{
  "formula": "EuPSe3",
  "functional": "meta-GGA SCAN",
  "state": "PBEsol geometry",
  "lattice": [[6.838, 0.000, 0.000], [0.000, 7.639, 0.000], [-6.544, 0.000, 9.477]],
  "species": ["Eu", "Eu", "Eu", "Eu", "P", "P", "P", "P", "Se", "Se", "Se", "Se", "Se", "Se", "Se", "Se", "Se", "Se", "Se", "Se"],
  "frac_coords": [[0.213, 0.113, 0.252], [0.213, 0.387, 0.752], [0.787, 0.613, 0.248], [0.787, 0.887, 0.748], [0.129, 0.607, 0.065], [0.129, 0.893, 0.565], [0.871, 0.107, 0.435], [0.871, 0.393, 0.935], [0.108, 0.189, 0.945], [0.108, 0.311, 0.445], [0.283, 0.702, 0.952], [0.283, 0.798, 0.452], [0.386, 0.011, 0.774], [0.386, 0.489, 0.274], [0.614, 0.511, 0.726], [0.614, 0.989, 0.226], [0.717, 0.202, 0.548], [0.717, 0.298, 0.048], [0.892, 0.689, 0.555], [0.892, 0.811, 0.055]],
  "n_ef_per_ev_cell": 2.14,
  "spacegroup": "P2_1/c (14)",
  "final_energy_ev_per_atom": -25.93,
  "magmom_total_mub_per_fu": 7.00,
  "raw_formation_energy_mev_per_atom": -1065
}

---

{
  "formula": "Eu2ZnP2",
  "functional": "meta-GGA SCAN",
  "state": "PBEsol geometry",
  "lattice": [[2.035, -7.699, 0.000], [2.035, 7.699, 0.000], [0.000, 0.000, 7.091]],
  "species": ["Eu", "Eu", "Eu", "Eu", "Zn", "Zn", "P", "P", "P", "P"],
  "frac_coords": [[0.036, 0.964, 0.500], [0.206, 0.794, 0.832], [0.794, 0.206, 0.332], [0.964, 0.036, 0.000], [0.405, 0.595, 0.648], [0.595, 0.405, 0.148], [0.169, 0.831, 0.228], [0.438, 0.562, 0.297], [0.562, 0.438, 0.797], [0.831, 0.169, 0.728]],
  "n_ef_per_ev_cell": 24.17,
  "spacegroup": "Cmc2_1 (36)",
  "final_energy_ev_per_atom": -29.47,
  "magmom_total_mub_per_fu": 14.00,
  "delta_e_f_mev_per_atom": -1121.0
}

---

{
  "formula": "PmEuPd2",
  "functional": "meta-GGA SCAN",
  "state": "PBEsol geometry",
  "lattice": [[0.000, 3.534, 3.534], [3.534, 0.000, 3.534], [3.534, 3.534, 0.000]],
  "species": ["Pm", "Eu", "Pd", "Pd"],
  "frac_coords": [[0.000, 0.000, 0.000], [0.500, 0.500, 0.500], [0.250, 0.250, 0.250], [0.750, 0.750, 0.750]],
  "n_ef_per_ev_cell": 8.09,
  "spacegroup": "Fm-3m (225)",
  "final_energy_ev_per_atom": -41.59,
  "magmom_total_mub_per_fu": 7.14,
  "delta_e_f_mev_per_atom": -781.2
}

---

{
  "formula": "EuSi2Pd2",
  "functional": "meta-GGA SCAN",
  "state": "PBEsol geometry",
  "lattice": [[-2.084, 2.084, 4.973], [2.084, -2.084, 4.973], [2.084, 2.084, -4.973]],
  "species": ["Eu", "Si", "Si", "Pd", "Pd"],
  "frac_coords": [[0.000, 0.000, 0.000], [0.380, 0.380, 0.000], [0.620, 0.620, 0.000], [0.250, 0.750, 0.500], [0.750, 0.250, 0.500]],
  "n_ef_per_ev_cell": 6.93,
  "spacegroup": "I4/mmm (139)",
  "final_energy_ev_per_atom": -28.72,
  "magmom_total_mub_per_fu": 7.10,
  "raw_formation_energy_mev_per_atom": -866
}

---

{
  "formula": "EuSnPd",
  "functional": "meta-GGA SCAN",
  "state": "PBEsol geometry",
  "lattice": [[7.376, 0.000, 0.000], [0.000, 4.657, 0.000], [0.000, 0.000, 7.911]],
  "species": ["Eu", "Eu", "Eu", "Eu", "Sn", "Sn", "Sn", "Sn", "Pd", "Pd", "Pd", "Pd"],
  "frac_coords": [[0.020, 0.250, 0.189], [0.480, 0.750, 0.689], [0.520, 0.250, 0.311], [0.980, 0.750, 0.811], [0.170, 0.250, 0.578], [0.330, 0.750, 0.078], [0.670, 0.250, 0.922], [0.830, 0.750, 0.422], [0.207, 0.750, 0.401], [0.293, 0.250, 0.901], [0.707, 0.750, 0.099], [0.793, 0.250, 0.599]],
  "n_ef_per_ev_cell": 25.79,
  "spacegroup": "Pnma (62)",
  "final_energy_ev_per_atom": -41.70,
  "magmom_total_mub_per_fu": 7.09,
  "delta_e_f_mev_per_atom": -892.8
}

---

Copy entry 5 word for word.
{
  "formula": "Eu2ZnP2",
  "functional": "meta-GGA SCAN",
  "state": "PBEsol geometry",
  "lattice": [[2.035, -7.699, 0.000], [2.035, 7.699, 0.000], [0.000, 0.000, 7.091]],
  "species": ["Eu", "Eu", "Eu", "Eu", "Zn", "Zn", "P", "P", "P", "P"],
  "frac_coords": [[0.036, 0.964, 0.500], [0.206, 0.794, 0.832], [0.794, 0.206, 0.332], [0.964, 0.036, 0.000], [0.405, 0.595, 0.648], [0.595, 0.405, 0.148], [0.169, 0.831, 0.228], [0.438, 0.562, 0.297], [0.562, 0.438, 0.797], [0.831, 0.169, 0.728]],
  "n_ef_per_ev_cell": 24.17,
  "spacegroup": "Cmc2_1 (36)",
  "final_energy_ev_per_atom": -29.47,
  "magmom_total_mub_per_fu": 14.00,
  "delta_e_f_mev_per_atom": -1121.0
}